(1)
Density functional theory data (PBE-GGA) for a relaxed Pr2YF11 crystal.

Output
The energy relative to the elements, uncorrected is -3.39 eV per atom. As for the volume: 525 Å³/cell. The raw total energy is -84.1 eV/f.u. The calculation puts the total magnetic moment at 2.11 μB per formula unit. As for the space group: No. 72.

Cell lengths 8.7661, 8.9069, 8.9069 Å; angles 72.36, 60.52, 60.52 degrees
Last column: nearest neighbours and their distance in Å.
Atoms (fractional coordinates):
Pr1 0.6652 0.6909 0.3091  7 F 2.32-2.48
Pr2 0.3348 0.3091 0.6909  7 F 2.32-2.48
Pr3 0.8348 0.1909 0.8091  7 F 2.32-2.48
Pr4 0.1652 0.8091 0.1909  7 F 2.32-2.48
Y1 0.7500 0.7500 0.7500  8 F 2.29
Y2 0.2500 0.2500 0.2500  8 F 2.29
F1 0.6708 0.7068 0.5622  1 Y 2.29, 1 Pr 2.33
F2 0.3292 0.2932 0.4378  1 Y 2.29, 1 Pr 2.33
F3 0.0602 0.5622 0.7068  1 Y 2.29, 1 Pr 2.33
F4 0.8292 0.9378 0.7932  1 Y 2.29, 1 Pr 2.33
F5 0.9398 0.4378 0.2932  1 Y 2.29, 1 Pr 2.33
F6 0.1708 0.0622 0.2068  1 Y 2.29, 1 Pr 2.33
F7 0.4398 0.7932 0.9378  1 Y 2.29, 1 Pr 2.33
F8 0.5602 0.2068 0.0622  1 Y 2.29, 1 Pr 2.33
F9 0.5000 0.5000 0.5000  2 F 2.17
F10 0.0000 0.0000 0.0000  2 F 2.17
F11 0.8941 0.8135 0.1865  1 F 2.17, 2 Pr 2.38-2.39
F12 0.1059 0.1865 0.8135  1 F 2.17, 2 Pr 2.38-2.39
F13 0.6059 0.3135 0.6865  1 F 2.17, 2 Pr 2.38-2.39
F14 0.3941 0.6865 0.3135  1 F 2.17, 2 Pr 2.38-2.39
F15 0.4511 0.9799 0.3162  1 Y 2.29, 1 Pr 2.32
F16 0.5489 0.0201 0.6838  1 Y 2.29, 1 Pr 2.32
F17 0.2528 0.3162 0.9799  1 Y 2.29, 1 Pr 2.32
F18 0.0489 0.1838 0.5201  1 Y 2.29, 1 Pr 2.32
F19 0.7472 0.6838 0.0201  1 Y 2.29, 1 Pr 2.32
F20 0.9511 0.8162 0.4799  1 Y 2.29, 1 Pr 2.32
F21 0.2472 0.5201 0.1838  1 Y 2.29, 1 Pr 2.32
F22 0.7528 0.4799 0.8162  1 Y 2.29, 1 Pr 2.32

(2)
Density functional theory data (PBE-GGA) for a relaxed Pr3YF crystal.

Output
The energy relative to the elements, uncorrected is -0.99 eV per atom. As for the volume: 143 Å³/cell. The raw total energy is -27.6 eV/f.u. The calculation puts the total magnetic moment at 0.00 μB per formula unit. As for the space group: No. 221.

Cell lengths 5.2247, 5.2247, 5.2247 Å; angles 90.00, 90.00, 90.00 degrees
Last column: nearest neighbours and their distance in Å.
Atoms (fractional coordinates):
Pr1 0.0000 0.5000 0.0000  2 F 2.61
Pr2 0.0000 0.0000 0.5000  2 F 2.61
Pr3 0.5000 0.0000 0.0000  2 F 2.61
Y1 0.5000 0.5000 0.5000  12 Pr 3.69
F1 0.0000 0.0000 0.0000  6 Pr 2.61